A geometry-optimized CePm2DyCo2 structure, computed with PBE-GGA.

Cell and atoms, written as CIF:
```
data_CePm2DyCo2
_chemical_formula_sum 'Ce4 Pm8 Dy4 Co8'
_symmetry_space_group_name_H-M 'I b a m'
_symmetry_Int_Tables_number 72
_symmetry_space_group_name_Hall '-I 2 2c'
_cell_length_a 6.826
_cell_length_b 12.833
_cell_length_c 6.708
_cell_angle_alpha 90.00
_cell_angle_beta 90.00
_cell_angle_gamma 90.00
loop_
_atom_site_label
_atom_site_type_symbol
_atom_site_fract_x
_atom_site_fract_y
_atom_site_fract_z
Ce1 Ce 0.000 0.000 0.250
Pm1 Pm 0.212 0.200 0.000
Dy1 Dy 0.000 0.500 0.250
Co1 Co 0.215 0.093 0.500
```

VASP energy: -139.645 eV/cell